Material: CoHN2F
Method: DFT, PBE with a Hubbard U
State: relaxed

Properties
- Electronic total energy: -20.4 eV for the cell shown
- Magnetic moment: 2.14 μB/f.u.
- Distance to the lowest polymorph of the same formula: 0.1714 eV/atom

Cell: 3.548 3.548 4.115 Å, 90.00 90.00 90.00°
Space group P4/mmm (No. 123)
Unique sites:
1 Co 0.000 0.000 0.000 [1 per cell]
2 H 0.500 0.500 0.500 [1 per cell]
3 N 0.000 0.500 0.000 [2 per cell]
4 F 0.000 0.000 0.500 [1 per cell]